Compound: Tb2SmDyAs4
Source: Alexandria via LeMat-Bulk
Functional: PBE-GGA
Structure: optimized geometry

```
Tb2SmDyAs4
1.0
4.155 0.000 0.000
0.000 7.191 -0.142
0.000 2.530 6.732
Tb Sm Dy As
2 1 1 4
Cartesian
0.000 2.530 6.732
2.077 1.265 3.366
2.077 6.126 6.661
0.000 4.860 3.295
0.000 7.301 4.918
4.155 2.420 1.672
2.077 6.037 1.592
2.077 3.684 4.998
```

## Properties
The calculation puts the calculated formation energy at -12.280 eV per formula unit. The value obtained for the electronic total energy is -0.2272 hartree per atom. As for the spin magnetization: 0.00 μB per atom.

=====

Compound: TbSm3Dy2As6
Source: Alexandria via LeMat-Bulk
Functional: PBE-GGA
Structure: optimized geometry

```
TbSm3Dy2As6
1.0
7.223 0.000 0.001
-3.610 6.256 0.001
-1.204 -2.085 6.809
Tb Sm Dy As
1 3 2 6
Cartesian
0.000 0.000 0.000
-2.408 4.172 3.406
4.817 -0.001 3.406
1.205 2.086 3.406
0.001 4.171 0.001
3.612 2.085 0.001
3.615 2.081 5.146
2.406 4.167 1.667
-1.206 2.090 1.666
-0.004 4.171 5.146
0.003 0.005 5.145
2.413 0.000 1.666
```

## Properties
The calculation puts the calculated formation energy at -18.375 eV per formula unit. The value obtained for the electronic total energy is -0.2274 hartree per atom. As for the spin magnetization: 0.00 μB per atom.

=====

Compound: Tb3SmDy2As6
Source: Alexandria via LeMat-Bulk
Functional: PBE-GGA
Structure: optimized geometry

```
Tb3SmDy2As6
1.0
-4.249 5.733 0.786
-1.733 -6.211 3.155
5.475 1.986 4.197
Tb Sm Dy As
3 1 2 6
Cartesian
0.587 -3.237 4.861
-1.094 4.744 3.277
-0.254 0.754 4.069
0.000 0.000 0.000
-2.571 -2.232 2.366
-3.411 1.754 1.575
-0.797 3.139 5.694
-3.098 0.140 3.994
0.290 -1.632 2.444
0.049 -0.880 6.491
2.590 1.368 4.144
-0.557 2.387 1.647
```

## Properties
The calculation puts the calculated formation energy at -18.429 eV per formula unit. The value obtained for the electronic total energy is -0.2271 hartree per atom. As for the spin magnetization: 0.00 μB per atom.

=====

Compound: Tb2SmDy3As6
Source: Alexandria via LeMat-Bulk
Functional: PBE-GGA
Structure: optimized geometry

```
Tb2SmDy3As6
1.0
-4.831 -1.313 -5.138
-0.781 -2.945 6.494
-1.722 6.788 1.552
Tb Sm Dy As
2 1 3 6
Cartesian
-2.131 -2.401 2.618
-3.482 -1.857 -1.262
0.000 0.000 0.000
-2.315 0.720 5.338
-5.019 1.810 -2.430
-3.667 1.265 1.454
-6.163 2.161 0.220
-4.635 -1.472 1.407
-1.171 0.368 2.688
-4.803 1.613 4.127
-2.699 4.002 1.501
-2.531 0.917 -1.219
```

## Properties
The calculation puts the calculated formation energy at -18.422 eV per formula unit. The value obtained for the electronic total energy is -0.2269 hartree per atom. As for the spin magnetization: 0.00 μB per atom.

=====

Compound: SmDyTeAs
Source: Alexandria via LeMat-Bulk
Functional: PBE-GGA
Structure: optimized geometry

```
SmDyTeAs
1.0
-0.998 3.251 -2.436
0.327 -3.829 -1.653
-6.632 -2.086 3.523
Sm Dy Te As
1 1 1 1
Cartesian
-0.350 -3.460 -1.561
-4.758 -0.310 0.857
-3.300 0.916 -1.696
-5.863 -2.927 1.408
```

## Properties
The value obtained for the electronic total energy is -0.2112 hartree per atom. As for the spin magnetization: 0.00 μB per atom. For the energy relative to the elements, uncorrected, the calculation gives -1.47 eV per atom.

=====

Compound: SmDy2ThAs4
Source: Alexandria via LeMat-Bulk
Functional: PBE-GGA
Structure: optimized geometry

```
SmDy2ThAs4
1.0
-3.420 -2.410 -0.114
1.217 -2.049 6.815
-3.354 4.546 4.523
Sm Dy Th As
1 2 1 4
Cartesian
-1.101 -2.230 3.351
-3.354 4.546 4.523
-3.387 1.068 2.205
-1.068 1.248 5.669
-1.588 1.851 8.534
-3.968 -1.764 2.690
-1.618 -1.632 6.220
-3.939 1.719 5.005
```

## Properties
The calculation puts the calculated formation energy at -12.143 eV per formula unit. The value obtained for the electronic total energy is -0.2393 hartree per atom. As for the spin magnetization: 0.00 μB per atom.

=====

Compound: Sm2DyTh3As6
Source: Alexandria via LeMat-Bulk
Functional: PBE-GGA
Structure: optimized geometry

```
Sm2DyTh3As6
1.0
4.227 0.000 0.000
0.000 8.409 0.315
-2.114 -2.403 8.871
Sm Dy Th As
2 1 3 6
Cartesian
2.114 4.004 6.126
0.000 2.003 3.060
2.114 0.000 0.000
2.114 4.205 0.158
2.114 -0.201 5.959
0.000 6.208 3.227
0.000 6.099 6.239
2.114 4.100 3.143
2.114 -0.092 2.948
0.000 2.060 0.077
2.114 3.946 9.109
0.000 1.907 6.043
```

## Properties
The calculation puts the calculated formation energy at -17.690 eV per formula unit. The value obtained for the electronic total energy is -0.2508 hartree per atom. As for the spin magnetization: 0.00 μB per atom.

=====

Compound: Sm3DyTh2As6
Source: Alexandria via LeMat-Bulk
Functional: PBE-GGA
Structure: optimized geometry

```
Sm3DyTh2As6
1.0
-2.660 -2.407 -2.225
5.709 -0.618 -6.157
3.277 -5.956 6.529
Sm Dy Th As
3 1 2 6
Cartesian
1.524 -1.513 -4.191
0.916 -6.086 1.483
5.410 -2.895 -3.336
-1.330 -1.203 -1.112
3.800 -6.418 -1.605
2.526 -2.563 -0.247
6.548 -5.365 -2.026
2.651 -3.953 -2.897
-0.222 -3.616 0.173
2.018 -8.507 2.786
4.308 -0.474 -4.639
3.675 -5.027 1.045
```

## Properties
The calculation puts the calculated formation energy at -18.016 eV per formula unit. The value obtained for the electronic total energy is -0.2435 hartree per atom. As for the spin magnetization: 0.00 μB per atom.

=====

Compound: SmDyTh2As4
Source: Alexandria via LeMat-Bulk
Functional: PBE-GGA
Structure: optimized geometry

```
SmDyTh2As4
1.0
4.222 0.000 0.000
0.000 7.265 -0.123
0.000 2.577 6.843
Sm Dy Th As
1 1 2 4
Cartesian
0.000 4.921 3.360
2.111 3.633 -0.062
0.000 2.577 6.843
2.111 1.288 3.422
0.000 7.354 5.071
4.222 2.488 1.649
2.111 6.066 1.609
2.111 3.776 5.111
```

## Properties
The calculation puts the calculated formation energy at -11.768 eV per formula unit. The value obtained for the electronic total energy is -0.2505 hartree per atom. As for the spin magnetization: 0.00 μB per atom.

=====

Compound: SmDy2Tm3As6
Source: Alexandria via LeMat-Bulk
Functional: PBE-GGA
Structure: optimized geometry

```
SmDy2Tm3As6
1.0
-2.428 3.312 -0.140
-3.510 -2.273 7.067
8.050 3.467 2.736
Sm Dy Tm As
1 2 3 6
Cartesian
-1.214 1.656 -0.070
0.998 3.552 6.413
1.114 0.954 3.251
-2.969 0.519 3.463
2.760 4.694 2.892
-0.648 -0.188 6.771
1.302 1.304 8.252
-1.000 2.025 4.949
0.809 3.202 1.411
4.715 6.191 4.405
-2.603 -1.685 5.258
3.112 2.481 4.714
```

## Properties
The calculation puts the calculated formation energy at -18.189 eV per formula unit. The value obtained for the electronic total energy is -0.2249 hartree per atom. As for the spin magnetization: 0.00 μB per atom.

=====

Compound: Sm3Dy2TmAs6
Source: Alexandria via LeMat-Bulk
Functional: PBE-GGA
Structure: optimized geometry

```
Sm3Dy2TmAs6
1.0
4.160 0.000 0.000
0.000 8.307 0.300
-2.080 -2.389 8.738
Sm Dy Tm As
3 2 1 6
Cartesian
2.080 4.154 0.150
2.080 -0.208 5.872
0.000 6.126 3.166
2.080 3.949 6.031
0.000 1.970 3.008
2.080 0.000 0.000
0.000 5.990 6.139
2.080 4.014 3.110
2.080 -0.072 2.899
0.000 2.022 0.093
2.080 3.896 8.945
0.000 1.904 5.928
```

## Properties
The calculation puts the calculated formation energy at -18.279 eV per formula unit. The value obtained for the electronic total energy is -0.2266 hartree per atom. As for the spin magnetization: 0.00 μB per atom.

=====

Compound: Sm2Dy3TmAs6
Source: Alexandria via LeMat-Bulk
Functional: PBE-GGA
Structure: optimized geometry

```
Sm2Dy3TmAs6
1.0
4.144 0.000 0.000
0.000 8.277 0.297
-2.072 -2.384 8.706
Sm Dy Tm As
2 3 1 6
Cartesian
2.072 3.935 6.017
0.000 1.958 2.986
2.072 4.139 0.148
2.072 -0.212 5.844
0.000 6.105 3.158
2.072 0.000 0.000
0.000 6.034 6.098
2.072 4.067 3.054
2.072 -0.140 2.904
2.072 -0.336 8.747
0.000 6.229 0.255
0.000 1.827 5.949
```

## Properties
The calculation puts the calculated formation energy at -18.277 eV per formula unit. The value obtained for the electronic total energy is -0.2263 hartree per atom. As for the spin magnetization: 0.00 μB per atom.